# 1
Here is a geometry-optimized Cs4Tb3MnS8 structure from the Alexandria database. Energies are from GGA-PBE.

a = 9.2864 Å, b = 9.2864 Å, c = 9.2864 Å
α = 51.70°, β = 51.70°, γ = 51.70°
Atoms (fractional coordinates):
Cs1 0.0000 0.0000 0.0000
Cs2 0.0000 0.5000 0.5000
Cs3 0.5000 0.0000 0.5000
Cs4 0.5000 0.5000 0.0000
Tb1 0.0000 0.0000 0.5000
Tb2 0.0000 0.5000 0.0000
Tb3 0.5000 0.0000 0.0000
Mn1 0.5000 0.5000 0.5000
S1 0.2283 0.2283 0.2283
S2 0.2435 0.7159 0.7159
S3 0.2841 0.2841 0.7565
S4 0.2841 0.7565 0.2841
S5 0.7159 0.2435 0.7159
S6 0.7159 0.7159 0.2435
S7 0.7565 0.2841 0.2841
S8 0.7717 0.7717 0.7717

Results
uncorrected formation energy	-1.509	eV/atom

---

# 2
Here is a geometry-optimized Pm5PrSm2 structure from the Alexandria database. Energies are from GGA-PBE.

a = 7.3106 Å, b = 14.6231 Å, c = 5.1568 Å
α = 90.00°, β = 90.00°, γ = 90.00°
Atoms (fractional coordinates):
Pm1 0.0000 0.0000 0.0000
Pm2 0.9998 0.2494 0.0000
Pm3 0.0002 0.7506 0.0000
Pm4 0.2495 0.1256 0.5000
Pm5 0.2505 0.6256 0.5000
Pm6 0.4998 0.2506 0.0000
Pm7 0.5000 0.5000 0.0000
Pm8 0.5002 0.7494 0.0000
Pm9 0.7495 0.3744 0.5000
Pm10 0.7505 0.8744 0.5000
Pr1 0.0000 0.5000 0.0000
Pr2 0.5000 0.0000 0.0000
Sm1 0.2502 0.3747 0.5000
Sm2 0.2498 0.8747 0.5000
Sm3 0.7502 0.1253 0.5000
Sm4 0.7498 0.6253 0.5000

Results
energy above the lowest structure with this stoichiometry	0	meV per atom
E_form	1.4	kJ per mole of atoms

---

# 3
Here is a geometry-optimized Sr3InGa structure from the Alexandria database. Energies are from GGA-PBE.

a = 6.0835 Å, b = 6.0835 Å, c = 6.0835 Å
α = 90.00°, β = 90.00°, γ = 90.00°
Atoms (fractional coordinates):
Sr1 0.0000 0.0000 0.5000
Sr2 0.0000 0.5000 0.0000
Sr3 0.5000 0.0000 0.0000
In1 0.5000 0.5000 0.5000
Ga1 0.0000 0.0000 0.0000

Results
energy above the lowest structure with this stoichiometry	302	meV per atom
E_form	-2.1	kJ per mole of atoms

---

# 4
Here is a geometry-optimized Cr2CdS structure from the Alexandria database. Energies are from GGA-PBE.

a = 8.5894 Å, b = 8.5894 Å, c = 8.5894 Å
α = 151.64°, β = 151.64°, γ = 40.53°
Atoms (fractional coordinates):
Cr1 0.3750 0.2245 0.3495
Cr2 0.7755 0.1250 0.1505
Cr3 0.8750 0.0255 0.6505
Cr4 0.9745 0.6250 0.8495
Cd1 0.2500 0.7500 0.5000
Cd2 0.5000 0.5000 0.0000
S1 0.0000 0.0000 0.0000
S2 0.7500 0.2500 0.5000

Results
uncorrected formation energy	0.573	eV/atom
energy above the lowest structure with this stoichiometry	0	meV per atom

---

# 5
Here is a geometry-optimized YAuCl2 structure from the Alexandria database. Energies are from GGA-PBE.

a = 5.1924 Å, b = 5.1924 Å, c = 5.1924 Å
α = 126.79°, β = 126.79°, γ = 78.59°
Atoms (fractional coordinates):
Y1 0.0000 0.0000 0.0000
Au1 0.2500 0.7500 0.5000
Cl1 0.5000 0.5000 0.0000
Cl2 0.7500 0.2500 0.5000

Results
uncorrected formation energy	-1.074	eV/atom
energy above the lowest structure with this stoichiometry	380	meV per atom

---

# 6
Here is a geometry-optimized Pb3S structure from the Alexandria database. Energies are from GGA-PBE.

a = 6.4353 Å, b = 6.4353 Å, c = 6.4353 Å
α = 146.45°, β = 62.24°, γ = 129.22°
Atoms (fractional coordinates):
Pb1 0.0000 0.0000 0.0000
Pb2 0.2846 0.4981 0.7865
Pb3 0.7116 0.4981 0.2135
S1 0.4510 0.9510 0.5000

Results
uncorrected formation energy	-0.073	eV/atom

---

# 7
Here is a geometry-optimized Zn2CoHg structure from the Alexandria database. Energies are from GGA-PBE.

a = 9.3415 Å, b = 9.3415 Å, c = 9.3415 Å
α = 17.63°, β = 17.63°, γ = 17.63°
Atoms (fractional coordinates):
Zn1 0.2353 0.2353 0.2353
Zn2 0.7647 0.7647 0.7647
Co1 0.5000 0.5000 0.5000
Hg1 0.0000 0.0000 0.0000

Results
E_form	20.3	kJ per mole of atoms

---

# 8
Here is a geometry-optimized YAl2Ni2 structure from the Alexandria database. Energies are from GGA-PBE.

a = 4.8143 Å, b = 4.8143 Å, c = 4.8143 Å
α = 124.97°, β = 108.38°, γ = 96.40°
Atoms (fractional coordinates):
Y1 0.0000 0.0000 0.0000
Al1 0.3024 0.8024 0.5000
Al2 0.6976 0.1976 0.5000
Ni1 0.2932 0.5000 0.7932
Ni2 0.7068 0.5000 0.2068

Results
E_form	-43.2	kJ per mole of atoms

---

# 9
Here is a geometry-optimized SbMoBr3 structure from the Alexandria database. Energies are from GGA-PBE.

a = 5.3676 Å, b = 5.3676 Å, c = 5.3676 Å
α = 90.00°, β = 90.00°, γ = 90.00°
Atoms (fractional coordinates):
Sb1 0.0000 0.0000 0.0000
Mo1 0.5000 0.5000 0.5000
Br1 0.0000 0.5000 0.5000
Br2 0.5000 0.0000 0.5000
Br3 0.5000 0.5000 0.0000

Results
uncorrected formation energy	0.345	eV/atom
energy above the lowest structure with this stoichiometry	0	meV per atom

---

# 10
Here is a geometry-optimized SmDy6Ho2Sc3 structure from the Alexandria database. Energies are from GGA-PBE.

a = 6.0390 Å, b = 6.0390 Å, c = 11.4582 Å
α = 95.04°, β = 95.04°, γ = 119.96°
Atoms (fractional coordinates):
Sm1 0.0000 0.0000 0.0000
Dy1 0.0868 0.4204 0.2594
Dy2 0.2469 0.2469 0.7406
Dy3 0.4204 0.0868 0.2594
Dy4 0.5796 0.9132 0.7406
Dy5 0.7531 0.7531 0.2594
Dy6 0.9132 0.5796 0.7406
Ho1 0.3334 0.6666 0.0000
Ho2 0.6666 0.3334 0.0000
Sc1 0.1669 0.8331 0.5000
Sc2 0.5000 0.5000 0.5000
Sc3 0.8331 0.1669 0.5000

Results
E_form	4.2	kJ per mole of atoms

---

# 11
Here is a geometry-optimized AgSbS6 structure from the Alexandria database. Energies are from GGA-PBE.

a = 3.9520 Å, b = 7.6022 Å, c = 7.7604 Å
α = 64.20°, β = 83.30°, γ = 76.73°
Atoms (fractional coordinates):
Ag1 0.0000 0.0000 0.0000
Sb1 0.0000 0.0000 0.5000
S1 0.0914 0.7863 0.8387
S2 0.2901 0.2651 0.7683
S3 0.4037 0.2447 0.5176
S4 0.5963 0.7553 0.4824
S5 0.7099 0.7349 0.2317
S6 0.9086 0.2137 0.1613

Results
uncorrected formation energy	0.143	eV/atom

---

# 12
Here is a geometry-optimized Ga2AgOsO structure from the Alexandria database. Energies are from GGA-PBE.

a = 4.7757 Å, b = 4.7757 Å, c = 5.1950 Å
α = 90.00°, β = 90.00°, γ = 90.00°
Atoms (fractional coordinates):
Ga1 0.0000 0.5000 0.0000
Ga2 0.5000 0.0000 0.0000
Ag1 0.0000 0.0000 0.5000
Os1 0.0000 0.0000 0.0000
O1 0.5000 0.5000 0.5000

Results
uncorrected formation energy	0.945	eV/atom

---

# 13
Here is a geometry-optimized ErBi2Pt structure from the Alexandria database. Energies are from GGA-PBE.

a = 10.1702 Å, b = 10.1702 Å, c = 10.1702 Å
α = 20.98°, β = 20.98°, γ = 20.98°
Atoms (fractional coordinates):
Er1 0.0000 0.0000 0.0000
Bi1 0.1056 0.1056 0.1056
Bi2 0.8944 0.8944 0.8944
Pt1 0.5000 0.5000 0.5000

Results
E_form	-3.3	kJ per mole of atoms

---

# 14
Here is a geometry-optimized ScSn2Rh structure from the Alexandria database. Energies are from GGA-PBE.

a = 4.3616 Å, b = 4.3616 Å, c = 4.1517 Å
α = 90.00°, β = 90.00°, γ = 90.00°
Atoms (fractional coordinates):
Sc1 0.0000 0.0000 0.0000
Sn1 0.0000 0.5000 0.5000
Sn2 0.5000 0.0000 0.5000
Rh1 0.5000 0.5000 0.0000

Results
E_form	-47.5	kJ per mole of atoms

---

# 15
Here is a geometry-optimized Mg2BC structure from the Alexandria database. Energies are from GGA-PBE.

a = 4.2914 Å, b = 4.2914 Å, c = 4.2914 Å
α = 130.82°, β = 93.88°, γ = 106.18°
Atoms (fractional coordinates):
Mg1 0.2450 0.0000 0.2450
Mg2 0.7550 0.0000 0.7550
B1 0.3687 0.3687 0.0000
C1 0.6500 0.6500 0.0000

Results
energy above the lowest structure with this stoichiometry	176	meV per atom
E_form	25.1	kJ per mole of atoms

---

# 16
Here is a geometry-optimized ZnCo4Cl structure from the Alexandria database. Energies are from GGA-PBE.

a = 4.8859 Å, b = 4.8859 Å, c = 4.8859 Å
α = 60.00°, β = 60.00°, γ = 60.00°
Atoms (fractional coordinates):
Zn1 0.0000 0.0000 0.0000
Co1 0.3748 0.3748 0.3748
Co2 0.3748 0.3748 0.8755
Co3 0.3748 0.8755 0.3748
Co4 0.8755 0.3748 0.3748
Cl1 0.7500 0.7500 0.7500

Results
uncorrected formation energy	0.557	eV/atom

---

# 17
Here is a geometry-optimized Sm2HgOsO8 structure from the Alexandria database. Energies are from GGA-PBE.

a = 4.8243 Å, b = 4.8243 Å, c = 7.5483 Å
α = 92.64°, β = 92.64°, γ = 93.83°
Atoms (fractional coordinates):
Sm1 0.0440 0.0440 0.2487
Sm2 0.9560 0.9560 0.7513
Hg1 0.5000 0.5000 0.0000
Os1 0.5000 0.5000 0.5000
O1 0.1940 0.1940 0.9833
O2 0.2227 0.2227 0.5376
O3 0.2677 0.6369 0.3219
O4 0.3631 0.7323 0.6781
O5 0.6369 0.2677 0.3219
O6 0.7323 0.3631 0.6781
O7 0.7773 0.7773 0.4624
O8 0.8060 0.8060 0.0167

Results
uncorrected formation energy	-1.850	eV/atom

---

# 18
Here is a geometry-optimized SmBeRh2 structure from the Alexandria database. Energies are from GGA-PBE.

a = 5.5732 Å, b = 5.5732 Å, c = 5.5732 Å
α = 41.49°, β = 41.49°, γ = 41.49°
Atoms (fractional coordinates):
Sm1 0.0000 0.0000 0.0000
Be1 0.5000 0.5000 0.5000
Rh1 0.2137 0.2137 0.2137
Rh2 0.7863 0.7863 0.7863

Results
energy above the lowest structure with this stoichiometry	132	meV per atom
E_form	-46.4	kJ per mole of atoms

---

# 19
Here is a geometry-optimized Zr3InRh structure from the Alexandria database. Energies are from GGA-PBE.

a = 5.0277 Å, b = 5.0277 Å, c = 5.0277 Å
α = 90.00°, β = 90.00°, γ = 90.00°
Atoms (fractional coordinates):
Zr1 0.0000 0.0000 0.5000
Zr2 0.0000 0.5000 0.0000
Zr3 0.5000 0.0000 0.0000
In1 0.5000 0.5000 0.5000
Rh1 0.0000 0.0000 0.0000

Results
energy above the lowest structure with this stoichiometry	0	meV per atom
E_form	6.7	kJ per mole of atoms

---

# 20
Here is a geometry-optimized VSi2W structure from the Alexandria database. Energies are from GGA-PBE.

a = 3.1933 Å, b = 3.1933 Å, c = 5.3952 Å
α = 90.00°, β = 90.00°, γ = 90.00°
Atoms (fractional coordinates):
V1 0.0000 0.0000 0.0000
Si1 0.5000 0.5000 0.2397
Si2 0.5000 0.5000 0.7603
W1 0.0000 0.0000 0.5000

Results
uncorrected formation energy	-0.021	eV/atom
energy above the lowest structure with this stoichiometry	0	meV per atom